Below is a PBEsol-optimized structure of KInHg2, with properties calculated at the meta-GGA SCAN level.

a b c (Å): 3.782 3.782 7.751
angles (deg): 90.00 90.00 90.00
Space group P4/mmm (No. 123)
One atom of each set of equivalent atoms:
K 0.000 0.000 0.000 x1
In 0.000 0.000 0.500 x1
Hg 0.500 0.500 0.288 x2

Computed properties:
E_tot = -44.717 eV per atom
Energy of formation = -0.206 eV per atom
Mass density = 8.31 g/cm3

Below is a PBEsol-optimized structure of KInHg2, with properties calculated at the meta-GGA SCAN level.

a b c (Å): 9.586 3.317 7.156
angles (deg): 90.00 96.97 90.00
Space group C2/m (No. 12)
One atom of each set of equivalent atoms:
K 0.000 0.000 0.000 x2
In 0.000 0.500 0.500 x2
Hg 0.246 0.000 0.707 x4

Computed properties:
E_tot = -44.699 eV per atom
Energy of formation = -0.188 eV per atom
Mass density = 8.16 g/cm3

Below is a PBEsol-optimized structure of KIn2Hg2, with properties calculated at the meta-GGA SCAN level.

a b c (Å): 9.013 9.013 3.269
angles (deg): 90.00 90.00 90.00
Space group P4/mbm (No. 127)
One atom of each set of equivalent atoms:
K 0.000 0.000 0.000 x2
In 0.143 0.357 0.500 x4
Hg 0.152 0.652 0.000 x4

Computed properties:
E_tot = -42.426 eV per atom
Energy above the most stable polymorph in this dataset = 9.0 kJ/mol of atoms
Energy of formation = -0.140 eV per atom
Mass density = 8.38 g/cm3

Below is a PBEsol-optimized structure of KIn2Hg, with properties calculated at the meta-GGA SCAN level.

a b c (Å): 3.524 3.759 8.509
angles (deg): 90.00 90.00 90.00
Space group Pmm2 (No. 25)
One atom of each set of equivalent atoms:
K 0.000 0.000 0.000 x1
In 0.000 0.000 0.479 x1
In 0.500 0.500 0.694 x1
Hg 0.500 0.500 0.271 x1

Computed properties:
E_tot = -35.971 eV per atom
Energy of formation = -0.154 eV per atom
Mass density = 6.91 g/cm3

Q: Look up the mass density of the fourth one.
A: 6.91 g/cm3

Q: What is the formula in the third record?
A: KIn2Hg2

Q: The highest mass density belongs to which entry?
A: KIn2Hg2